DFT (PBE) results for a geometry-optimized Sm2Zn6Cd structure.

Lattice parameters (Å, degrees): 5.857 5.857 5.945 90.00 90.00 120.00
Fractional positions:
Sm  0.667  0.333  0.847
Sm  0.333  0.667  0.153
Zn  0.181  0.362  0.654
Zn  0.362  0.181  0.346
Zn  0.819  0.181  0.346
Zn  0.638  0.819  0.654
Zn  0.181  0.819  0.654
Zn  0.819  0.638  0.346
Cd  0.000  0.000  0.000

## Properties
space group	P-3m1 (164)
energy of formation	-285	meV/atom
energy	-2.285	eV per atom